This record from the Alexandria database describes a relaxed structure of CsFeCl3. The functional is PBE.

extended XYZ file:
```
10
Lattice="3.716 -6.489 0.000 3.716 6.489 0.000 0.000 0.000 5.927" Properties=species:S:1:pos:R:3 pbc="T T T"
Cs 3.716 4.319 4.445
Cs 3.716 -4.319 1.482
Fe 3.716 0.000 0.000
Fe 3.716 0.000 2.964
Cl 1.995 0.993 4.445
Cl 1.995 -0.993 1.482
Cl 3.716 2.004 1.482
Cl 3.716 -2.004 4.445
Cl 5.436 0.993 4.445
Cl 5.436 -0.993 1.482
```

Calculated values
**Formation energy (no corrections)**: -124.0 kJ/mol of atoms
**M_tot**: 4.00 μB/f.u.
**Raw total energy**: -4.257 eV/atom
**Calculated volume**: 28.581 A^3/atom